[1]
Hg2PbBr6 (PBE, relaxed); SG = No. 15; DOS at the Fermi energy = 0.000 states/eV per cell; energy relative to the lowest polymorph listed for this composition = 0.000 eV/atom; formation energy (no corrections) = -0.58 eV per atom
1.0
-1.710 5.052 5.365
-7.435 4.008 -4.473
-6.549 -5.270 4.547
Hg Pb Br
4 2 12
Cartesian
-9.773 -0.756 1.724
-4.919 0.486 2.524
-5.920 4.545 3.715
-10.775 3.304 2.915
-7.072 -2.999 4.908
-8.621 6.788 0.532
-9.479 1.858 1.110
-5.524 1.129 -0.029
-6.214 1.931 4.329
-10.170 2.660 5.468
-10.489 5.924 2.648
-6.485 4.844 1.144
-5.204 -2.135 2.791
-9.209 -1.055 4.295
-12.480 -1.236 1.508
-2.211 0.953 2.752
-3.213 5.026 3.931
-13.482 2.836 2.687

[2]
HgPb3Br (PBE, relaxed); SG = No. 221; DOS at the Fermi energy = 2.803 states/eV per cell; energy relative to the lowest polymorph listed for this composition = 0.000 eV/atom; formation energy (no corrections) = 0.30 eV per atom
1.0
5.841 0.000 0.000
0.000 5.841 0.000
0.000 0.000 5.841
Pb Hg Br
3 1 1
Cartesian
0.000 2.920 0.000
0.000 0.000 2.920
2.920 0.000 0.000
0.000 0.000 0.000
2.920 2.920 2.920

[3]
Hg2PbBr6 (PBE, relaxed); SG = No. 2; DOS at the Fermi energy = 0.000 states/eV per cell; energy relative to the lowest polymorph listed for this composition = 0.003 eV/atom; formation energy (no corrections) = -0.58 eV per atom
1.0
-4.234 0.882 -0.565
1.992 -7.639 -2.362
-0.338 1.410 11.498
Hg Pb Br
2 1 6
Cartesian
0.913 -5.115 1.897
-3.493 -0.232 6.675
-2.242 -6.757 -2.927
-0.935 -4.584 3.503
-1.645 -0.763 5.069
-0.937 -0.378 8.976
-2.616 -1.219 0.896
-1.643 -4.970 -0.405
0.036 -4.128 7.676

[4]
HgPb6Br12 (PBE, relaxed); SG = No. 148; DOS at the Fermi energy = 0.000 states/eV per cell; formation energy (no corrections) = -0.82 eV per atom
1.0
9.076 0.154 -2.986
-4.168 8.064 -2.986
0.092 0.154 9.554
Hg Pb Br
1 6 12
Cartesian
0.000 0.000 0.000
0.702 2.258 4.354
5.074 3.473 4.318
0.345 6.684 3.416
4.298 6.114 -0.772
-0.075 4.899 -0.736
4.655 1.688 0.166
3.228 1.435 2.812
-0.492 3.939 2.152
2.577 3.523 -1.158
1.771 6.937 0.769
5.491 4.433 1.430
2.423 4.849 4.740
-2.501 7.804 2.963
-0.397 6.873 -3.094
-0.922 2.909 6.903
7.500 0.568 0.619
5.397 1.499 6.676
5.922 5.463 -3.321

[5]
HgPbBr3 (PBE, relaxed); SG = No. 221; DOS at the Fermi energy = 2.893 states/eV per cell; formation energy (no corrections) = -0.21 eV per atom
1.0
5.565 0.000 0.000
0.000 5.565 0.000
0.000 0.000 5.565
Pb Hg Br
1 1 3
Cartesian
2.783 2.783 2.783
0.000 0.000 0.000
0.000 2.783 0.000
0.000 0.000 2.783
2.783 0.000 0.000

[6]
Hg4PbBr (PBE, relaxed); SG = No. 216; DOS at the Fermi energy = 3.571 states/eV per cell; formation energy (no corrections) = -0.01 eV per atom
1.0
0.000 4.397 4.397
4.397 0.000 4.397
4.397 4.397 0.000
Hg Pb Br
4 1 1
Cartesian
3.296 5.497 5.497
5.497 5.497 3.296
5.497 3.296 5.497
3.296 3.296 3.296
6.595 6.595 6.595
0.000 0.000 0.000